Entry 1:
{
  "formula": "TbSmHo2Tm6",
  "functional": "PBE",
  "state": "optimized geometry",
  "final_energy_ev_per_atom": -4.41,
  "e_form_kj_per_mol_fu": 120,
  "n_ef_per_ev_atom": 1.44,
  "space_group": "No. 15",
  "lattice": [[-7.905, 3.939, -3.288], [-3.992, -7.341, 2.397], [1.195, 6.122, 6.057]],
  "species": ["Tm", "Tm", "Sm", "Tm", "Tm", "Tm", "Sm", "Tb", "Ho", "Ho", "Ho", "Tm", "Tm", "Tm", "Tm", "Tb", "Tm", "Tm", "Ho", "Tm"],
  "frac_coords": [[0.118, 0.709, 0.492], [0.058, 0.124, 0.750], [0.250, 0.975, 0.025], [0.317, 0.979, 0.431], [0.382, 0.508, 0.291], [0.442, 0.250, 0.876], [0.750, 0.025, 0.975], [0.250, 0.409, 0.591], [0.546, 0.196, 0.303], [0.454, 0.804, 0.697], [0.046, 0.303, 0.196], [0.942, 0.876, 0.250], [0.683, 0.021, 0.569], [0.558, 0.750, 0.124], [0.817, 0.431, 0.979], [0.750, 0.591, 0.409], [0.618, 0.492, 0.709], [0.183, 0.569, 0.021], [0.954, 0.697, 0.804], [0.882, 0.291, 0.508]]
}


Entry 2:
{
  "formula": "NaLiDyTl",
  "functional": "PBE",
  "state": "optimized geometry",
  "final_energy_ev_per_atom": -2.64,
  "e_form_kj_per_mol_fu": -35,
  "n_ef_per_ev_atom": 0.83,
  "space_group": "No. 216",
  "lattice": [[5.163, 0.000, 0.000], [2.582, 4.471, 0.000], [2.582, 1.490, 4.216]],
  "species": ["Na", "Tl", "Dy", "Li"],
  "frac_coords": [[0.000, 0.000, 0.000], [0.500, 0.500, 0.500], [0.250, 0.250, 0.250], [0.750, 0.750, 0.750]]
}